a) The following is a PBE calculation of BeCrCoP after structural relaxation, from the Alexandria database.

Structure (CIF):
```
data_BeCrCoP
_cell_length_a 2.5934
_cell_length_b 2.5934
_cell_length_c 13.3632
_cell_angle_alpha 90.00
_cell_angle_beta 90.00
_cell_angle_gamma 90.00
_symmetry_space_group_name_H-M 'I 4 m m'
_symmetry_Int_Tables_number 107
_symmetry_space_group_name_Hall 'I 4 -2'
loop_
_atom_site_label
_atom_site_type_symbol
_atom_site_fract_x
_atom_site_fract_y
_atom_site_fract_z
_atom_site_occupancy
Be1 Be 0.0000 0.0000 0.0000 1
Cr1 Cr 0.0000 0.0000 0.7801 1
Co1 Co 0.0000 0.0000 0.3980 1
P1 P 0.0000 0.0000 0.1635 1
```

Results
The total magnetic moment is 0.000 Bohr magnetons per cell.

b) The following is a PBE calculation of BeCrCoP after structural relaxation, from the Alexandria database.

Structure (CIF):
```
data_BeCrCoP
_cell_length_a 2.7269
_cell_length_b 3.7739
_cell_length_c 3.8714
_cell_angle_alpha 90.00
_cell_angle_beta 90.00
_cell_angle_gamma 90.00
_symmetry_space_group_name_H-M 'P m m m'
_symmetry_Int_Tables_number 47
loop_
_symmetry_equiv_pos_as_xyz
'x,y,z'
'-x,-y,-z'
'-x,-y,z'
'x,y,-z'
'x,-y,-z'
'-x,y,z'
'-x,y,-z'
'x,-y,z'
loop_
_atom_site_label
_atom_site_type_symbol
_atom_site_fract_x
_atom_site_fract_y
_atom_site_fract_z
_atom_site_occupancy
Be1 Be 0.0000 0.0000 0.0000 1
Cr1 Cr 0.5000 0.0000 0.5000 1
Co1 Co 0.5000 0.5000 0.0000 1
P1 P 0.0000 0.5000 0.5000 1
```

Results
The total magnetic moment is 0.001 Bohr magnetons per cell.

Which of them is least stable? Easy: a).

a) The following is a PBE calculation of BeCrCoP after structural relaxation, from the Alexandria database.

Structure (CIF):
```
data_BeCrCoP
_cell_length_a 3.4166
_cell_length_b 3.0596
_cell_length_c 7.9180
_cell_angle_alpha 90.00
_cell_angle_beta 90.00
_cell_angle_gamma 90.00
_symmetry_space_group_name_H-M 'A m m 2'
_symmetry_Int_Tables_number 38
loop_
_symmetry_equiv_pos_as_xyz
'x,y,z'
'-x,-y,z'
'-x,y,z'
'x,-y,z'
'x,y+1/2,z+1/2'
'-x,-y+1/2,z+1/2'
'-x,y+1/2,z+1/2'
'x,-y+1/2,z+1/2'
loop_
_atom_site_label
_atom_site_type_symbol
_atom_site_fract_x
_atom_site_fract_y
_atom_site_fract_z
_atom_site_occupancy
Be1 Be 0.0000 0.0000 0.0000 1
Cr1 Cr 0.5000 0.0000 0.5534 1
Co1 Co 0.0000 0.0000 0.2794 1
P1 P 0.5000 0.0000 0.8331 1
```

Results
The total magnetic moment is 0.000 Bohr magnetons per cell.

b) The following is a PBE calculation of BeCrCoP after structural relaxation, from the Alexandria database.

Structure (CIF):
```
data_BeCrCoP
_cell_length_a 5.4122
_cell_length_b 5.4122
_cell_length_c 5.4122
_cell_angle_alpha 90.00
_cell_angle_beta 90.00
_cell_angle_gamma 90.00
_symmetry_space_group_name_H-M 'F -4 3 m'
_symmetry_Int_Tables_number 216
_symmetry_space_group_name_Hall 'F -4 2 3'
loop_
_atom_site_label
_atom_site_type_symbol
_atom_site_fract_x
_atom_site_fract_y
_atom_site_fract_z
_atom_site_occupancy
Be1 Be 0.0000 0.0000 0.0000 1
Cr1 Cr 0.2500 0.2500 0.2500 1
Co1 Co 0.2500 0.2500 0.7500 1
P1 P 0.0000 0.0000 0.5000 1
```

Results
The total magnetic moment is 5.370 Bohr magnetons per cell.

c) The following is a PBE calculation of BeCrCoP after structural relaxation, from the Alexandria database.

Structure (CIF):
```
data_BeCrCoP
_cell_length_a 8.3687
_cell_length_b 2.5926
_cell_length_c 4.5708
_cell_angle_alpha 90.00
_cell_angle_beta 122.31
_cell_angle_gamma 90.00
_symmetry_space_group_name_H-M 'C 1 m 1'
_symmetry_Int_Tables_number 8
loop_
_symmetry_equiv_pos_as_xyz
'x,y,z'
'x,-y,z'
'x+1/2,y+1/2,z'
'x+1/2,-y+1/2,z'
loop_
_atom_site_label
_atom_site_type_symbol
_atom_site_fract_x
_atom_site_fract_y
_atom_site_fract_z
_atom_site_occupancy
Be1 Be 0.0000 0.0000 0.0000 1
Cr1 Cr 0.2193 0.5000 0.4835 1
Co1 Co 0.2925 0.0000 0.0662 1
P1 P 0.0048 0.0000 0.5277 1
```

Results
The total magnetic moment is 0.015 Bohr magnetons per cell.

d) The following is a PBE calculation of BeCrCoP after structural relaxation, from the Alexandria database.

Structure (CIF):
```
data_BeCrCoP
_cell_length_a 3.2010
_cell_length_b 2.7362
_cell_length_c 9.6561
_cell_angle_alpha 90.00
_cell_angle_beta 90.00
_cell_angle_gamma 90.00
_symmetry_space_group_name_H-M 'A m m 2'
_symmetry_Int_Tables_number 38
loop_
_symmetry_equiv_pos_as_xyz
'x,y,z'
'-x,-y,z'
'-x,y,z'
'x,-y,z'
'x,y+1/2,z+1/2'
'-x,-y+1/2,z+1/2'
'-x,y+1/2,z+1/2'
'x,-y+1/2,z+1/2'
loop_
_atom_site_label
_atom_site_type_symbol
_atom_site_fract_x
_atom_site_fract_y
_atom_site_fract_z
_atom_site_occupancy
Be1 Be 0.0000 0.0000 0.0000 1
Cr1 Cr 0.5000 0.0000 0.6451 1
Co1 Co 0.5000 0.0000 0.3906 1
P1 P 0.0000 0.0000 0.2414 1
```

Results
The total magnetic moment is 0.000 Bohr magnetons per cell.

Which of them is least stable? Easy: b).

a) The following is a PBE calculation of BeCrCoP after structural relaxation, from the Alexandria database.

Structure (CIF):
```
data_BeCrCoP
_cell_length_a 3.7794
_cell_length_b 2.6015
_cell_length_c 4.3882
_cell_angle_alpha 90.00
_cell_angle_beta 105.39
_cell_angle_gamma 90.00
_symmetry_space_group_name_H-M 'P 1 m 1'
_symmetry_Int_Tables_number 6
loop_
_symmetry_equiv_pos_as_xyz
'x,y,z'
'x,-y,z'
loop_
_atom_site_label
_atom_site_type_symbol
_atom_site_fract_x
_atom_site_fract_y
_atom_site_fract_z
_atom_site_occupancy
Be1 Be 0.0000 0.0000 0.0000 1
Cr1 Cr 0.1348 0.0000 0.5221 1
Co1 Co 0.5288 0.5000 0.0889 1
P1 P 0.6642 0.5000 0.6174 1
```

Results
The total magnetic moment is 0.003 Bohr magnetons per cell.

b) The following is a PBE calculation of BeCrCoP after structural relaxation, from the Alexandria database.

Structure (CIF):
```
data_BeCrCoP
_cell_length_a 2.8642
_cell_length_b 2.8642
_cell_length_c 5.0182
_cell_angle_alpha 90.00
_cell_angle_beta 90.00
_cell_angle_gamma 90.00
_symmetry_space_group_name_H-M 'P 4 m m'
_symmetry_Int_Tables_number 99
loop_
_symmetry_equiv_pos_as_xyz
'x,y,z'
'-y,x,z'
'-x,-y,z'
'y,-x,z'
'-x,y,z'
'y,x,z'
'x,-y,z'
'-y,-x,z'
loop_
_atom_site_label
_atom_site_type_symbol
_atom_site_fract_x
_atom_site_fract_y
_atom_site_fract_z
_atom_site_occupancy
Be1 Be 0.0000 0.0000 0.0000 1
Cr1 Cr 0.0000 0.0000 0.4877 1
Co1 Co 0.5000 0.5000 0.7988 1
P1 P 0.5000 0.5000 0.2543 1
```

Results
The total magnetic moment is 0.788 Bohr magnetons per cell.

c) The following is a PBE calculation of BeCrCoP after structural relaxation, from the Alexandria database.

Structure (CIF):
```
data_BeCrCoP
_cell_length_a 2.6760
_cell_length_b 3.6568
_cell_length_c 8.6145
_cell_angle_alpha 90.00
_cell_angle_beta 90.00
_cell_angle_gamma 90.00
_symmetry_space_group_name_H-M 'I m m 2'
_symmetry_Int_Tables_number 44
loop_
_symmetry_equiv_pos_as_xyz
'x,y,z'
'-x,-y,z'
'-x,y,z'
'x,-y,z'
'x+1/2,y+1/2,z+1/2'
'-x+1/2,-y+1/2,z+1/2'
'-x+1/2,y+1/2,z+1/2'
'x+1/2,-y+1/2,z+1/2'
loop_
_atom_site_label
_atom_site_type_symbol
_atom_site_fract_x
_atom_site_fract_y
_atom_site_fract_z
_atom_site_occupancy
Be1 Be 0.0000 0.0000 0.0000 1
Cr1 Cr 0.0000 0.5000 0.7851 1
Co1 Co 0.0000 0.0000 0.5362 1
P1 P 0.0000 0.5000 0.2430 1
```

Results
The total magnetic moment is 0.003 Bohr magnetons per cell.

d) The following is a PBE calculation of BeCrCoP after structural relaxation, from the Alexandria database.

Structure (CIF):
```
data_BeCrCoP
_cell_length_a 2.7141
_cell_length_b 3.3253
_cell_length_c 4.6569
_cell_angle_alpha 90.00
_cell_angle_beta 90.00
_cell_angle_gamma 90.00
_symmetry_space_group_name_H-M 'P m m 2'
_symmetry_Int_Tables_number 25
loop_
_symmetry_equiv_pos_as_xyz
'x,y,z'
'-x,-y,z'
'-x,y,z'
'x,-y,z'
loop_
_atom_site_label
_atom_site_type_symbol
_atom_site_fract_x
_atom_site_fract_y
_atom_site_fract_z
_atom_site_occupancy
Be1 Be 0.0000 0.0000 0.0000 1
Cr1 Cr 0.0000 0.5000 0.3547 1
Co1 Co 0.5000 0.5000 0.8598 1
P1 P 0.5000 0.0000 0.5405 1
```

Results
The total magnetic moment is 0.000 Bohr magnetons per cell.

Which of them is least stable? Easy: a).

a) The following is a PBE calculation of BeCrCoRu after structural relaxation, from the Alexandria database.

Structure (CIF):
```
data_BeCrCoRu
_cell_length_a 2.7743
_cell_length_b 2.7743
_cell_length_c 5.6709
_cell_angle_alpha 90.00
_cell_angle_beta 90.00
_cell_angle_gamma 90.00
_symmetry_space_group_name_H-M 'P 4 m m'
_symmetry_Int_Tables_number 99
loop_
_symmetry_equiv_pos_as_xyz
'x,y,z'
'-y,x,z'
'-x,-y,z'
'y,-x,z'
'-x,y,z'
'y,x,z'
'x,-y,z'
'-y,-x,z'
loop_
_atom_site_label
_atom_site_type_symbol
_atom_site_fract_x
_atom_site_fract_y
_atom_site_fract_z
_atom_site_occupancy
Be1 Be 0.0000 0.0000 0.0000 1
Cr1 Cr 0.0000 0.0000 0.5271 1
Co1 Co 0.5000 0.5000 0.7861 1
Ru1 Ru 0.5000 0.5000 0.2517 1
```

Results
The total magnetic moment is 0.001 Bohr magnetons per cell.

b) The following is a PBE calculation of BeCrCoRu after structural relaxation, from the Alexandria database.

Structure (CIF):
```
data_BeCrCoRu
_cell_length_a 5.6245
_cell_length_b 5.6245
_cell_length_c 5.6245
_cell_angle_alpha 90.00
_cell_angle_beta 90.00
_cell_angle_gamma 90.00
_symmetry_space_group_name_H-M 'F -4 3 m'
_symmetry_Int_Tables_number 216
_symmetry_space_group_name_Hall 'F -4 2 3'
loop_
_atom_site_label
_atom_site_type_symbol
_atom_site_fract_x
_atom_site_fract_y
_atom_site_fract_z
_atom_site_occupancy
Be1 Be 0.0000 0.0000 0.0000 1
Cr1 Cr 0.0000 0.0000 0.5000 1
Co1 Co 0.2500 0.2500 0.2500 1
Ru1 Ru 0.2500 0.2500 0.7500 1
```

Results
The total magnetic moment is 4.027 Bohr magnetons per cell.

Which of them is least stable? Easy: b).

a) The following is a PBE calculation of CsBeCo3 after structural relaxation, from the Alexandria database.

Structure (CIF):
```
data_CsBeCo3
_cell_length_a 4.2869
_cell_length_b 4.2869
_cell_length_c 4.2869
_cell_angle_alpha 90.00
_cell_angle_beta 90.00
_cell_angle_gamma 90.00
_symmetry_space_group_name_H-M 'P m -3 m'
_symmetry_Int_Tables_number 221
_symmetry_space_group_name_Hall '-P 4 2 3'
loop_
_atom_site_label
_atom_site_type_symbol
_atom_site_fract_x
_atom_site_fract_y
_atom_site_fract_z
_atom_site_occupancy
Cs1 Cs 0.0000 0.0000 0.0000 1
Be1 Be 0.5000 0.5000 0.5000 1
Co1 Co 0.0000 0.5000 0.5000 1
```

Results
The total magnetic moment is 3.397 Bohr magnetons per cell.

b) The following is a PBE calculation of CsBeCo3 after structural relaxation, from the Alexandria database.

Structure (CIF):
```
data_CsBeCo3
_cell_length_a 4.7124
_cell_length_b 4.7124
_cell_length_c 4.7124
_cell_angle_alpha 90.00
_cell_angle_beta 90.00
_cell_angle_gamma 90.00
_symmetry_space_group_name_H-M 'P m -3 m'
_symmetry_Int_Tables_number 221
_symmetry_space_group_name_Hall '-P 4 2 3'
loop_
_atom_site_label
_atom_site_type_symbol
_atom_site_fract_x
_atom_site_fract_y
_atom_site_fract_z
_atom_site_occupancy
Cs1 Cs 0.0000 0.0000 0.0000 1
Be1 Be 0.5000 0.5000 0.5000 1
Co1 Co 0.0000 0.0000 0.5000 1
```

Results
The total magnetic moment is 3.045 Bohr magnetons per cell.

Which of them is least stable? Easy: b).

a) The following is a PBE calculation of Be3CoCu after structural relaxation, from the Alexandria database.

Structure (CIF):
```
data_Be3CoCu
_cell_length_a 3.8934
_cell_length_b 3.8934
_cell_length_c 3.8934
_cell_angle_alpha 90.00
_cell_angle_beta 90.00
_cell_angle_gamma 90.00
_symmetry_space_group_name_H-M 'P m -3 m'
_symmetry_Int_Tables_number 221
_symmetry_space_group_name_Hall '-P 4 2 3'
loop_
_atom_site_label
_atom_site_type_symbol
_atom_site_fract_x
_atom_site_fract_y
_atom_site_fract_z
_atom_site_occupancy
Be1 Be 0.0000 0.0000 0.5000 1
Co1 Co 0.5000 0.5000 0.5000 1
Cu1 Cu 0.0000 0.0000 0.0000 1
```

Results
The total magnetic moment is 1.363 Bohr magnetons per cell.

b) The following is a PBE calculation of Be3CoCu after structural relaxation, from the Alexandria database.

Structure (CIF):
```
data_Be3CoCu
_cell_length_a 3.8838
_cell_length_b 3.8838
_cell_length_c 3.8838
_cell_angle_alpha 90.00
_cell_angle_beta 90.00
_cell_angle_gamma 90.00
_symmetry_space_group_name_H-M 'P m -3 m'
_symmetry_Int_Tables_number 221
_symmetry_space_group_name_Hall '-P 4 2 3'
loop_
_atom_site_label
_atom_site_type_symbol
_atom_site_fract_x
_atom_site_fract_y
_atom_site_fract_z
_atom_site_occupancy
Be1 Be 0.0000 0.0000 0.5000 1
Co1 Co 0.0000 0.0000 0.0000 1
Cu1 Cu 0.5000 0.5000 0.5000 1
```

Results
The total magnetic moment is 0.000 Bohr magnetons per cell.

Which of them is least stable? Easy: a).